[1]
ZnCu4Pd5 PBE relaxed; spin magnetization = 0.0 μB per cell; space group = P4/mmm, No. 123; energy = -45.9 eV per cell; energy relative to the elements = -0.23 eV/atom; DOS(E_F) = 6.1 states/eV per cell
1.0
3.028 0.000 0.000
0.000 3.028 0.000
0.000 0.000 15.144
Zn Cu Pd
1 4 5
Direct
0.000 0.000 0.000 Zn
0.000 0.000 0.204 Cu
0.000 0.000 0.401 Cu
0.000 0.000 0.599 Cu
0.000 0.000 0.796 Cu
0.500 0.500 0.101 Pd
0.500 0.500 0.301 Pd
0.500 0.500 0.500 Pd
0.500 0.500 0.699 Pd
0.500 0.500 0.899 Pd



[2]
Zn7Cu3Pd PBE relaxed; spin magnetization = 0.0 μB per cell; space group = C2/m, No. 12; energy = -26.4 eV per cell; energy relative to the elements = 0.00 eV/atom; DOS(E_F) = 2.7 states/eV per cell
1.0
4.441 -4.496 0.000
4.441 4.496 0.000
-2.084 0.000 4.195
Zn Cu Pd
7 3 1
Direct
0.000 0.000 0.000 Zn
0.091 0.570 0.330 Zn
0.317 0.317 0.886 Zn
0.430 0.909 0.670 Zn
0.570 0.091 0.330 Zn
0.683 0.683 0.114 Zn
0.909 0.430 0.670 Zn
0.276 0.724 0.000 Cu
0.500 0.500 0.500 Cu
0.724 0.276 0.000 Cu
0.000 0.000 0.500 Pd



[3]
ZnCu3Pd PBE relaxed; energy above the most stable polymorph in this dataset = 0.000 eV per atom; spin magnetization = 0.0 μB per cell; space group = C2/m, No. 12; energy = -38.9 eV per cell; energy relative to the elements = -0.14 eV/atom; DOS(E_F) = 2.6 states/eV per cell
1.0
3.656 -2.067 0.000
3.656 2.067 0.000
-2.175 0.000 8.695
Zn Cu Pd
2 6 2
Direct
0.051 0.051 0.151 Zn
0.949 0.949 0.849 Zn
0.149 0.149 0.448 Cu
0.354 0.354 0.060 Cu
0.453 0.453 0.361 Cu
0.547 0.547 0.639 Cu
0.646 0.646 0.940 Cu
0.851 0.851 0.552 Cu
0.251 0.251 0.752 Pd
0.749 0.749 0.248 Pd



[4]
Zn4Cu5Pd PBE relaxed; spin magnetization = 0.0 μB per cell; space group = C2/m, No. 12; energy = -32.3 eV per cell; energy relative to the elements = -0.15 eV/atom; DOS(E_F) = 3.2 states/eV per cell
1.0
6.790 -1.934 0.000
6.790 1.934 0.000
-1.430 0.000 5.021
Zn Cu Pd
4 5 1
Direct
0.098 0.098 0.308 Zn
0.299 0.299 0.899 Zn
0.701 0.701 0.101 Zn
0.902 0.902 0.692 Zn
0.103 0.103 0.798 Cu
0.302 0.302 0.401 Cu
0.500 0.500 0.500 Cu
0.698 0.698 0.599 Cu
0.897 0.897 0.202 Cu
0.500 0.500 0.000 Pd



[5]
Zn3CuPd12 PBE relaxed; spin magnetization = 0.0 μB per cell; space group = P4/mmm, No. 123; energy = -74.0 eV per cell; energy relative to the elements = -0.23 eV/atom; DOS(E_F) = 24.1 states/eV per cell
1.0
3.908 0.000 0.000
0.000 3.908 0.000
0.000 0.000 15.694
Zn Cu Pd
3 1 12
Direct
0.000 0.000 0.000 Zn
0.000 0.000 0.250 Zn
0.000 0.000 0.750 Zn
0.000 0.000 0.500 Cu
0.000 0.500 0.126 Pd
0.000 0.500 0.377 Pd
0.000 0.500 0.623 Pd
0.000 0.500 0.874 Pd
0.500 0.000 0.126 Pd
0.500 0.000 0.377 Pd
0.500 0.000 0.623 Pd
0.500 0.000 0.874 Pd
0.500 0.500 0.000 Pd
0.500 0.500 0.252 Pd
0.500 0.500 0.500 Pd
0.500 0.500 0.748 Pd



[6]
Zn4Cu3Pd PBE relaxed; energy above the most stable polymorph in this dataset = 0.000 eV per atom; spin magnetization = 0.0 μB per cell; space group = C2/m, No. 12; energy = -24.2 eV per cell; energy relative to the elements = -0.20 eV/atom; DOS(E_F) = 1.2 states/eV per cell
1.0
7.396 -1.940 0.000
7.396 1.940 0.000
-1.007 0.000 3.754
Zn Cu Pd
4 3 1
Direct
0.128 0.128 0.128 Zn
0.372 0.372 0.372 Zn
0.628 0.628 0.628 Zn
0.872 0.872 0.872 Zn
0.000 0.000 0.500 Cu
0.252 0.252 0.751 Cu
0.748 0.748 0.249 Cu
0.500 0.500 0.000 Pd



[7]
Zn2Cu6Pd PBE relaxed; energy above the most stable polymorph in this dataset = 0.000 eV per atom; spin magnetization = 0.0 μB per cell; space group = C2/m, No. 12; energy = -33.5 eV per cell; energy relative to the elements = -0.13 eV/atom; DOS(E_F) = 2.2 states/eV per cell
1.0
4.148 -1.881 0.000
4.148 1.881 0.000
-2.569 0.000 7.381
Zn Cu Pd
2 6 1
Direct
0.171 0.171 0.226 Zn
0.829 0.829 0.774 Zn
0.164 0.164 0.881 Cu
0.166 0.166 0.554 Cu
0.498 0.498 0.659 Cu
0.502 0.502 0.341 Cu
0.834 0.834 0.446 Cu
0.836 0.836 0.119 Cu
0.500 0.500 0.000 Pd



[8]
Zn2Cu3Pd PBE relaxed; spin magnetization = 0.0 μB per cell; space group = C2/c, No. 15; energy = -41.4 eV per cell; energy relative to the elements = -0.11 eV/atom; DOS(E_F) = 4.0 states/eV per cell
1.0
3.419 -3.701 0.000
3.419 3.701 0.000
-1.203 0.000 6.384
Zn Cu Pd
4 6 2
Direct
0.124 0.625 0.875 Zn
0.375 0.876 0.625 Zn
0.625 0.124 0.375 Zn
0.876 0.375 0.125 Zn
0.078 0.922 0.250 Cu
0.146 0.323 0.499 Cu
0.323 0.146 0.999 Cu
0.677 0.854 0.001 Cu
0.854 0.677 0.501 Cu
0.922 0.078 0.750 Cu
0.420 0.580 0.250 Pd
0.580 0.420 0.750 Pd



[9]
ZrCu2Pd2 PBE relaxed; energy above the most stable polymorph in this dataset = 0.225 eV per atom; spin magnetization = 0.0 μB per cell; space group = Cmmm, No. 65; energy = -28.1 eV per cell; energy relative to the elements = -0.20 eV/atom; DOS(E_F) = 2.9 states/eV per cell
1.0
2.307 -3.254 0.000
2.307 3.254 0.000
0.000 0.000 5.488
Zr Cu Pd
1 2 2
Direct
0.000 0.000 0.000 Zr
0.175 0.825 0.500 Cu
0.825 0.175 0.500 Cu
0.500 0.500 0.251 Pd
0.500 0.500 0.749 Pd



[10]
Zr2Cu3Pd4 PBE relaxed; spin magnetization = 0.0 μB per cell; space group = C2/m, No. 12; energy = -54.6 eV per cell; energy relative to the elements = -0.49 eV/atom; DOS(E_F) = 3.9 states/eV per cell
1.0
4.426 -1.988 0.000
4.426 1.988 0.000
-2.660 0.000 7.981
Zr Cu Pd
2 3 4
Direct
0.175 0.175 0.229 Zr
0.825 0.825 0.771 Zr
0.156 0.156 0.551 Cu
0.500 0.500 0.000 Cu
0.844 0.844 0.449 Cu
0.161 0.161 0.889 Pd
0.484 0.484 0.661 Pd
0.516 0.516 0.339 Pd
0.839 0.839 0.111 Pd



[11]
Zr6CuPd3 PBE relaxed; spin magnetization = 0.0 μB per cell; space group = P2_1/c, No. 14; energy = -148.0 eV per cell; energy relative to the elements = -0.30 eV/atom; DOS(E_F) = 19.3 states/eV per cell
1.0
8.219 0.000 0.000
0.000 5.448 0.000
-4.932 0.000 8.801
Zr Cu Pd
12 2 6
Direct
0.069 0.027 0.354 Zr
0.069 0.473 0.854 Zr
0.303 0.526 0.463 Zr
0.303 0.974 0.963 Zr
0.341 0.212 0.711 Zr
0.341 0.288 0.211 Zr
0.659 0.712 0.789 Zr
0.659 0.788 0.289 Zr
0.697 0.026 0.037 Zr
0.697 0.474 0.537 Zr
0.931 0.527 0.146 Zr
0.931 0.973 0.646 Zr
0.000 0.000 0.000 Cu
0.000 0.500 0.500 Cu
0.280 0.725 0.714 Pd
0.280 0.775 0.214 Pd
0.500 0.000 0.500 Pd
0.500 0.500 0.000 Pd
0.720 0.225 0.786 Pd
0.720 0.275 0.286 Pd



[12]
ZrCu2Pd4 PBE relaxed; energy above the most stable polymorph in this dataset = 0.075 eV per atom; spin magnetization = 0.0 μB per cell; space group = P1, No. 1; energy = -79.5 eV per cell; energy relative to the elements = -0.32 eV/atom; DOS(E_F) = 5.7 states/eV per cell
1.0
5.419 0.000 0.000
-1.422 6.386 0.000
-1.677 -1.576 6.385
Zr Cu Pd
2 4 8
Direct
0.000 0.000 0.000 Zr
0.234 0.760 0.436 Zr
0.272 0.274 0.677 Cu
0.568 0.817 0.160 Cu
0.677 0.540 0.413 Cu
0.778 0.303 0.717 Cu
0.100 0.664 0.777 Pd
0.280 0.419 0.064 Pd
0.429 0.137 0.346 Pd
0.508 0.080 0.926 Pd
0.579 0.663 0.754 Pd
0.837 0.545 0.088 Pd
0.846 0.945 0.558 Pd
0.953 0.263 0.332 Pd



Which value of energy does entry 3 give? -38.9 eV per cell



What did the seventh record say?
Zn2Cu6Pd PBE relaxed; energy above the most stable polymorph in this dataset = 0.000 eV per atom; spin magnetization = 0.0 μB per cell; space group = C2/m, No. 12; energy = -33.5 eV per cell; energy relative to the elements = -0.13 eV/atom; DOS(E_F) = 2.2 states/eV per cell
1.0
4.148 -1.881 0.000
4.148 1.881 0.000
-2.569 0.000 7.381
Zn Cu Pd
2 6 1
Direct
0.171 0.171 0.226 Zn
0.829 0.829 0.774 Zn
0.164 0.164 0.881 Cu
0.166 0.166 0.554 Cu
0.498 0.498 0.659 Cu
0.502 0.502 0.341 Cu
0.834 0.834 0.446 Cu
0.836 0.836 0.119 Cu
0.500 0.500 0.000 Pd



Number 10 is which compound? Zr2Cu3Pd4



The lowest DOS(E_F) belongs to which entry? Zn4Cu3Pd